Entry 1:
A plane-wave DFT calculation with GGA+U was carried out for a relaxed Li4Nb3Fe2Ni3O16 crystal.

Summary:
ρ: 4657 kg/m³
electronic total energy: -6.6633 eV per atom
total moment: 11.0 μB per cell

a b c (Å): 6.016 6.037 9.608
angles (deg): 91.00 90.81 119.61
Space group P1 (No. 1)
Inequivalent atoms, fractional coordinates:
Li 0.000 0.000 0.000 (multiplicity 1)
Li 0.113 0.233 0.545 (multiplicity 1)
Li 0.447 0.876 0.448 (multiplicity 1)
Li 0.761 0.530 0.925 (multiplicity 1)
Nb 0.294 0.570 0.768 (multiplicity 1)
Nb 0.461 0.360 0.264 (multiplicity 1)
Nb 0.991 0.425 0.233 (multiplicity 1)
Fe 0.462 0.914 0.022 (multiplicity 1)
Fe 0.808 0.595 0.546 (multiplicity 1)
Ni 0.287 0.057 0.758 (multiplicity 1)
Ni 0.781 0.067 0.756 (multiplicity 1)
Ni 0.927 0.882 0.261 (multiplicity 1)
O 0.070 0.686 0.381 (multiplicity 1)
O 0.120 0.236 0.354 (multiplicity 1)
O 0.141 0.230 0.857 (multiplicity 1)
O 0.153 0.738 0.900 (multiplicity 1)
O 0.279 0.057 0.139 (multiplicity 1)
O 0.308 0.579 0.146 (multiplicity 1)
O 0.433 0.892 0.653 (multiplicity 1)
O 0.468 0.437 0.645 (multiplicity 1)
O 0.577 0.175 0.884 (multiplicity 1)
O 0.609 0.757 0.898 (multiplicity 1)
O 0.623 0.684 0.388 (multiplicity 1)
O 0.634 0.240 0.377 (multiplicity 1)
O 0.767 0.539 0.139 (multiplicity 1)
O 0.793 0.082 0.136 (multiplicity 1)
O 0.969 0.420 0.649 (multiplicity 1)
O 0.978 0.922 0.641 (multiplicity 1)

Entry 2:
A plane-wave DFT calculation with GGA+U was carried out for a relaxed Li4NbFe3O12 crystal.

Summary:
ρ: 3868 kg/m³
electronic total energy: -6.1349 eV per atom
total moment: 9.0 μB per cell

a b c (Å): 4.957 8.274 5.027
angles (deg): 90.00 91.25 90.00
Space group P2 (No. 3)
Inequivalent atoms, fractional coordinates:
Li 0.000 0.000 0.000 (multiplicity 1)
Li 0.000 0.370 0.500 (multiplicity 1)
Li 0.500 0.499 0.500 (multiplicity 1)
Li 0.500 0.900 0.000 (multiplicity 1)
Nb 0.000 0.594 0.000 (multiplicity 1)
Fe 0.000 0.797 0.500 (multiplicity 1)
Fe 0.500 0.099 0.500 (multiplicity 1)
Fe 0.500 0.283 0.000 (multiplicity 1)
O 0.192 0.789 0.819 (multiplicity 2)
O 0.207 0.625 0.338 (multiplicity 2)
O 0.246 0.953 0.346 (multiplicity 2)
O 0.259 0.442 0.851 (multiplicity 2)
O 0.305 0.116 0.817 (multiplicity 2)
O 0.305 0.272 0.315 (multiplicity 2)

Entry 3:
A plane-wave DFT calculation with GGA+U was carried out for a relaxed Li2Nb2Fe3O10 crystal.

Summary:
ρ: 4500 kg/m³
electronic total energy: -7.2317 eV per atom
total moment: 8.0 μB per cell

a b c (Å): 5.151 5.323 7.819
angles (deg): 99.08 107.18 102.21
Space group P1 (No. 1)
Inequivalent atoms, fractional coordinates:
Li 0.000 0.000 0.000 (multiplicity 1)
Li 0.490 0.020 0.795 (multiplicity 1)
Nb 0.503 0.601 0.082 (multiplicity 1)
Nb 0.985 0.421 0.709 (multiplicity 1)
Fe 0.245 0.514 0.397 (multiplicity 1)
Fe 0.623 0.190 0.281 (multiplicity 1)
Fe 0.864 0.844 0.500 (multiplicity 1)
O 0.029 0.205 0.463 (multiplicity 1)
O 0.083 0.649 0.943 (multiplicity 1)
O 0.201 0.718 0.611 (multiplicity 1)
O 0.274 0.316 0.181 (multiplicity 1)
O 0.404 0.370 0.849 (multiplicity 1)
O 0.471 0.814 0.335 (multiplicity 1)
O 0.641 0.947 0.049 (multiplicity 1)
O 0.649 0.487 0.549 (multiplicity 1)
O 0.842 0.066 0.730 (multiplicity 1)
O 0.857 0.576 0.257 (multiplicity 1)

Entry 4:
A plane-wave DFT calculation with GGA+U was carried out for a relaxed Li6Nb3Fe3O16 crystal.

Summary:
ρ: 3779 kg/m³
electronic total energy: -6.8737 eV per atom
total moment: 26.0 μB per cell

a b c (Å): 10.489 6.136 10.157
angles (deg): 90.00 90.42 90.00
Space group Cm (No. 8)
Inequivalent atoms, fractional coordinates:
Li 0.000 0.000 0.000 (multiplicity 2)
Li 0.003 0.000 0.658 (multiplicity 2)
Li 0.158 0.500 0.146 (multiplicity 2)
Li 0.169 0.500 0.502 (multiplicity 2)
Li 0.317 0.000 0.541 (multiplicity 2)
Li 0.333 0.000 0.036 (multiplicity 2)
Nb 0.014 0.500 0.811 (multiplicity 2)
Nb 0.415 0.253 0.325 (multiplicity 4)
Fe 0.163 0.000 0.320 (multiplicity 2)
Fe 0.257 0.250 0.828 (multiplicity 4)
O 0.069 0.233 0.219 (multiplicity 4)
O 0.099 0.264 0.720 (multiplicity 4)
O 0.152 0.500 0.944 (multiplicity 2)
O 0.186 0.000 0.920 (multiplicity 2)
O 0.253 0.229 0.428 (multiplicity 4)
O 0.320 0.500 0.735 (multiplicity 2)
O 0.334 0.000 0.218 (multiplicity 2)
O 0.338 0.500 0.222 (multiplicity 2)
O 0.345 0.000 0.719 (multiplicity 2)
O 0.406 0.232 0.929 (multiplicity 4)
O 0.482 0.000 0.436 (multiplicity 2)
O 0.490 0.500 0.439 (multiplicity 2)

Entry 5:
A plane-wave DFT calculation with GGA+U was carried out for a relaxed Li5Nb2Fe3O10 crystal.

Summary:
ρ: 4520 kg/m³
electronic total energy: -6.8251 eV per atom
total moment: 13.0 μB per cell

a b c (Å): 5.268 5.303 8.017
angles (deg): 71.49 72.13 79.77
Space group P-1 (No. 2)
Inequivalent atoms, fractional coordinates:
Li 0.000 0.000 0.000 (multiplicity 1)
Li 0.486 0.892 0.714 (multiplicity 2)
Li 0.488 0.728 0.104 (multiplicity 2)
Nb 0.021 0.400 0.187 (multiplicity 2)
Fe 0.008 0.191 0.605 (multiplicity 2)
Fe 0.500 0.500 0.500 (multiplicity 1)
O 0.231 0.270 0.752 (multiplicity 2)
O 0.233 0.823 0.562 (multiplicity 2)
O 0.239 0.652 0.953 (multiplicity 2)
O 0.243 0.075 0.150 (multiplicity 2)
O 0.245 0.448 0.341 (multiplicity 2)

Entry 6:
A plane-wave DFT calculation with GGA+U was carried out for a relaxed LiNb2FeO crystal.

Summary:
ρ: 5234 kg/m³
electronic total energy: -5.0057 eV per atom
total moment: 0.0 μB per cell

a b c (Å): 4.464 4.464 4.213
angles (deg): 90.00 90.00 90.00
Space group P4/mmm (No. 123)
Inequivalent atoms, fractional coordinates:
Li 0.000 0.000 0.000 (multiplicity 1)
Nb 0.000 0.500 0.500 (multiplicity 2)
Fe 0.000 0.000 0.500 (multiplicity 1)
O 0.500 0.500 0.000 (multiplicity 1)

Entry 7:
A plane-wave DFT calculation with GGA+U was carried out for a relaxed Li2NbFe3O8 crystal.

Summary:
energy above the lowest structure with this stoichiometry: 2.2 kJ/mol of atoms
ρ: 4215 kg/m³
total moment: 60.0 μB per cell

a b c (Å): 8.590 8.590 8.590
angles (deg): 90.00 90.00 90.00
Space group P4_332 (No. 212)
Inequivalent atoms, fractional coordinates:
Li 0.002 0.498 0.502 (multiplicity 8)
Nb 0.125 0.875 0.375 (multiplicity 4)
Fe 0.119 0.131 0.625 (multiplicity 12)
O 0.111 0.384 0.114 (multiplicity 24)
O 0.113 0.613 0.887 (multiplicity 8)

Entry 8:
A plane-wave DFT calculation with GGA+U was carried out for a relaxed Li6NbFe5O12 crystal.

Summary:
ρ: 4205 kg/m³
electronic total energy: -6.3806 eV per atom
total moment: 46.1 μB per cell

a b c (Å): 5.238 8.984 10.465
angles (deg): 90.00 103.72 90.00
Space group Cm (No. 8)
Inequivalent atoms, fractional coordinates:
Li 0.000 0.000 0.000 (multiplicity 2)
Li 0.065 0.334 0.497 (multiplicity 4)
Li 0.067 0.000 0.502 (multiplicity 2)
Li 0.489 0.171 0.993 (multiplicity 4)
Nb 0.080 0.500 0.750 (multiplicity 2)
Fe 0.055 0.165 0.750 (multiplicity 4)
Fe 0.152 0.000 0.251 (multiplicity 2)
Fe 0.152 0.333 0.249 (multiplicity 4)
O 0.029 0.500 0.358 (multiplicity 2)
O 0.031 0.167 0.360 (multiplicity 4)
O 0.259 0.166 0.137 (multiplicity 4)
O 0.262 0.500 0.140 (multiplicity 2)
O 0.272 0.342 0.872 (multiplicity 4)
O 0.288 0.000 0.859 (multiplicity 2)
O 0.317 0.500 0.625 (multiplicity 2)
O 0.357 0.161 0.638 (multiplicity 4)